MnAgCl3 | Alexandria via LeMat-Bulk | PBE-GGA | relaxed; ΔE_f (raw) = -0.02 eV/atom; distance to the lowest polymorph of the same formula = 802 meV per atom; total DFT energy (no corrections) = -3.531 eV/atom; calculated volume = 25.9 Å³ per atom
1.0
-4.4856 -1.8673 -1.4104
2.3102 -4.0197 -2.0253
-0.3731 -2.4396 4.4165
Cl Ag Mn
3 1 1
Cartesian
-0.1866 -1.2198 2.2083 Cl
-2.2428 -0.9337 -0.7052 Cl
1.1551 -2.0098 -1.0126 Cl
0.0000 0.0000 0.0000 Ag
-1.2742 -4.1633 0.4904 Mn

---

MnAg2Cl | Alexandria via LeMat-Bulk | PBE-GGA | relaxed; ΔE_f (raw) = 0.24 eV/atom; distance to the lowest polymorph of the same formula = 295 meV per atom; total DFT energy (no corrections) = -3.938 eV/atom; calculated volume = 19.1 Å³ per atom
1.0
-4.1285 -3.2942 -0.4581
4.6024 -1.3465 -2.2608
0.8599 -1.4405 2.6086
Ag Cl Mn
2 1 1
Cartesian
0.0000 0.0000 0.0000 Ag
0.2369 -2.3204 -1.3595 Ag
-1.6343 -2.3674 1.0752 Cl
2.7312 -1.3935 0.1739 Mn